Record 1
# TmBeB4, relaxed, DFT PBE
# ΔE to the lowest computed polymorph ... 0.00 eV per formula unit
data_TmBeB4
_chemical_formula_sum 'Tm1 Be1 B4'
_space_group_name_H-M_alt 'P 6/m m m'
_space_group_IT_number 191
_space_group_name_Hall '-P 6 2'
_cell_length_a 3.0943
_cell_length_b 3.0943
_cell_length_c 6.5951
_cell_angle_alpha 90.00
_cell_angle_beta 90.00
_cell_angle_gamma 120.00
loop_
_atom_site_label
_atom_site_type_symbol
_atom_site_fract_x
_atom_site_fract_y
_atom_site_fract_z
Tm1 Tm 0.0000 0.0000 0.0000
Be1 Be 0.0000 0.0000 0.5000
B1 B 0.3333 0.6667 0.2914


Record 2
# Pm5Se6, relaxed, DFT PBE
# Calculated total energy ... -5.9548 eV/atom
data_Pm5Se6
_chemical_formula_sum 'Pm10 Se12'
_space_group_name_H-M_alt 'C 1 2/m 1'
_space_group_IT_number 12
_space_group_name_Hall '-C 2y'
_cell_length_a 7.239
_cell_length_b 12.501
_cell_length_c 7.207
_cell_angle_alpha 90.00
_cell_angle_beta 109.48
_cell_angle_gamma 90.00
loop_
_atom_site_label
_atom_site_type_symbol
_atom_site_fract_x
_atom_site_fract_y
_atom_site_fract_z
Pm1 Pm 0.000 0.000 0.000
Pm2 Pm 0.000 0.165 0.500
Pm3 Pm 0.000 0.335 0.000
Se1 Se 0.247 0.500 0.256
Se2 Se 0.248 0.335 0.748


no.,volume (Å³/f.u.)
1,55
2,307